Computed, not measured: a relaxed VZn3I crystal at the PBE level of DFT.

a b c (Å): 5.201 5.201 5.201
angles (deg): 90.00 90.00 90.00
Site moments in Bohr magnetons follow the coordinates.
Fractional coordinates of all 5 atoms:
I (0.500, 0.500, 0.500)  0.03
Zn (0.000, 0.000, 0.500)  0.05
Zn (0.500, 0.000, 0.000)  0.05
Zn (0.000, 0.500, 0.000)  0.05
V (0.000, 0.000, 0.000)  2.89

Calculated values
- calculated density (g/cm3) = 4.42
- total magnetic moment (Bohr magnetons per cell) = 3.9
- uncorrected formation energy (eV per atom) = 0.6734


Computed, not measured: a relaxed DySnRhAu crystal at the PBE level of DFT.

a b c (Å): 4.842 4.842 4.842
angles (deg): 60.00 60.00 60.00
Fractional coordinates of all 4 atoms:
Au (0.000, 0.000, 0.000)
Dy (0.750, 0.750, 0.750)
Sn (0.250, 0.250, 0.250)
Rh (0.500, 0.500, 0.500)

Calculated values
- calculated density (g/cm3) = 12.02
- total magnetic moment (Bohr magnetons per cell) = 0.0
- energy of formation (eV per atom) = -0.6346


Computed, not measured: a relaxed GeCl2O crystal at the PBE level of DFT.

a b c (Å): 6.945 6.945 5.825
angles (deg): 53.41 53.41 90.00
Fractional coordinates of all 8 atoms:
Ge (0.750, 0.250, 0.500)
Ge (0.000, 0.000, 0.000)
Cl (0.875, 0.886, 0.750)
Cl (0.375, 0.364, 0.750)
Cl (0.114, 0.625, 0.250)
Cl (0.636, 0.125, 0.250)
O (0.250, 0.750, 0.500)
O (0.500, 0.500, 0.000)

Calculated values
- calculated density (g/cm3) = 3.51
- total magnetic moment (Bohr magnetons per cell) = 0.0
- uncorrected formation energy (eV per atom) = 0.4104


Computed, not measured: a relaxed BIrOs2N crystal at the PBE level of DFT.

a b c (Å): 4.849 3.575 4.849
angles (deg): 90.00 90.00 90.00
Fractional coordinates of all 5 atoms:
B (0.500, 0.500, 0.500)
N (0.000, 0.500, 0.000)
Os (0.000, 0.000, 0.500)
Os (0.500, 0.000, 0.000)
Ir (0.000, 0.000, 0.000)

Calculated values
- calculated density (g/cm3) = 11.80
- total magnetic moment (Bohr magnetons per cell) = 0.0
- uncorrected formation energy (eV per atom) = 2.6313


Computed, not measured: a relaxed Ce3TiIn12 crystal at the PBE level of DFT.

a b c (Å): 4.651 4.651 18.443
angles (deg): 90.00 90.00 90.00
Site moments in Bohr magnetons follow the coordinates.
Fractional coordinates of all 16 atoms:
In (0.000, 0.500, 0.371)  0.01
In (0.000, 0.500, 0.114)  0.00
In (0.500, 0.000, 0.371)  0.01
In (0.500, 0.500, 0.245)  0.01
In (0.500, 0.000, 0.629)  0.01
In (0.000, 0.500, 0.629)  0.01
In (0.500, 0.500, 0.755)  0.01
In (0.500, 0.500, 0.000)  0.00
In (0.000, 0.500, 0.886)  0.00
In (0.500, 0.000, 0.886)  0.00
In (0.500, 0.000, 0.114)  0.00
In (0.500, 0.500, 0.500)  0.01
Ce (0.000, 0.000, 0.241)  0.67
Ce (0.000, 0.000, 0.759)  0.67
Ce (0.000, 0.000, 0.500)  0.69
Ti (0.000, 0.000, 0.000)  0.00

Calculated values
- calculated density (g/cm3) = 7.68
- total magnetic moment (Bohr magnetons per cell) = 2.4
- energy of formation (eV per atom) = -0.3096


Computed, not measured: a relaxed In12GaSn7 crystal at the PBE level of DFT.

a b c (Å): 6.228 10.493 10.493
angles (deg): 116.19 101.41 101.41
Fractional coordinates of all 20 atoms:
Ga (0.000, 0.000, 0.000)
In (0.959, 0.355, 0.355)
In (0.902, 0.403, 0.805)
In (0.499, 0.402, 0.597)
In (0.903, 0.805, 0.402)
In (0.604, 0.645, 0.000)
In (0.396, 0.355, 0.000)
In (0.098, 0.597, 0.195)
In (0.097, 0.195, 0.598)
In (0.604, 0.000, 0.645)
In (0.041, 0.645, 0.645)
In (0.501, 0.598, 0.403)
In (0.396, 0.000, 0.355)
Sn (0.600, 0.742, 0.743)
Sn (0.858, 0.257, 0.000)
Sn (0.500, 0.000, 0.000)
Sn (0.858, 0.000, 0.258)
Sn (0.142, 0.743, 0.000)
Sn (0.142, 0.000, 0.742)
Sn (0.400, 0.258, 0.257)

Calculated values
- calculated density (g/cm3) = 6.63
- total magnetic moment (Bohr magnetons per cell) = 0.0
- energy of formation (eV per atom) = 0.0835


Computed, not measured: a relaxed Rb2TlBi2Au crystal at the PBE level of DFT.

a b c (Å): 7.647 7.666 9.750
angles (deg): 113.15 113.09 90.00
Fractional coordinates of all 12 atoms:
Bi (0.806, 0.090, 0.181)
Bi (0.625, 0.410, 0.819)
Bi (0.194, 0.910, 0.819)
Bi (0.375, 0.590, 0.181)
Tl (0.000, 0.250, 0.000)
Tl (0.000, 0.750, 0.000)
Au (0.500, 0.750, 0.000)
Au (0.500, 0.250, 0.000)
Rb (0.411, 0.163, 0.325)
Rb (0.086, 0.337, 0.675)
Rb (0.589, 0.837, 0.675)
Rb (0.914, 0.663, 0.325)

Calculated values
- calculated density (g/cm3) = 6.92
- total magnetic moment (Bohr magnetons per cell) = 0.0
- energy of formation (eV per atom) = -0.2231


Computed, not measured: a relaxed Ba3RhAu crystal at the PBE level of DFT.

a b c (Å): 4.633 8.932 9.496
angles (deg): 108.15 90.00 90.00
Fractional coordinates of all 10 atoms:
Rh (0.750, 0.045, 0.558)
Rh (0.250, 0.955, 0.442)
Ba (0.250, 0.341, 0.586)
Ba (0.250, 0.907, 0.753)
Ba (0.250, 0.697, 0.075)
Ba (0.750, 0.659, 0.414)
Ba (0.750, 0.303, 0.925)
Ba (0.750, 0.093, 0.247)
Au (0.250, 0.376, 0.207)
Au (0.750, 0.624, 0.793)

Calculated values
- calculated density (g/cm3) = 6.33
- total magnetic moment (Bohr magnetons per cell) = 0.0
- energy of formation (eV per atom) = -0.3710


Computed, not measured: a relaxed Tb2ErTh crystal at the PBE level of DFT.

a b c (Å): 3.581 3.580 11.513
angles (deg): 90.00 90.00 60.00
Fractional coordinates of all 4 atoms:
Th (0.141, 0.369, 0.813)
Er (0.140, 0.371, 0.313)
Tb (0.807, 0.038, 0.067)
Tb (0.807, 0.038, 0.560)

Calculated values
- calculated density (g/cm3) = 9.32
- total magnetic moment (Bohr magnetons per cell) = 0.0
- energy of formation (eV per atom) = 0.0386


Computed, not measured: a relaxed CoAuCl crystal at the PBE level of DFT.

a b c (Å): 3.178 3.178 37.954
angles (deg): 90.00 90.00 120.00
Site moments in Bohr magnetons follow the coordinates.
Fractional coordinates of all 18 atoms:
Co (0.333, 0.667, 0.918)  1.96
Co (0.333, 0.667, 0.415)  1.96
Co (0.667, 0.333, 0.082)  1.96
Co (0.667, 0.333, 0.585)  1.96
Co (0.000, 0.000, 0.748)  1.96
Co (0.000, 0.000, 0.252)  1.96
Au (0.000, 0.000, 0.363)  -0.04
Au (0.333, 0.667, 0.030)  -0.04
Au (0.333, 0.667, 0.303)  -0.04
Au (0.667, 0.333, 0.697)  -0.04
Au (0.000, 0.000, 0.637)  -0.04
Au (0.667, 0.333, 0.970)  -0.04
Cl (0.333, 0.667, 0.548)  0.18
Cl (0.667, 0.333, 0.215)  0.18
Cl (0.000, 0.000, 0.882)  0.18
Cl (0.667, 0.333, 0.452)  0.18
Cl (0.333, 0.667, 0.785)  0.18
Cl (0.000, 0.000, 0.118)  0.18

Calculated values
- calculated density (g/cm3) = 8.74
- total magnetic moment (Bohr magnetons per cell) = 12.6
- uncorrected formation energy (eV per atom) = -0.0536


Computed, not measured: a relaxed NaTcO3 crystal at the PBE level of DFT.

a b c (Å): 6.255 5.176 5.176
angles (deg): 120.00 65.57 90.00
Fractional coordinates of all 10 atoms:
Tc (0.745, 0.976, 0.897)
Tc (0.734, 0.647, 0.238)
O (0.523, 0.797, 0.120)
O (0.956, 0.826, 0.419)
O (0.523, 0.976, 0.717)
O (0.956, 0.647, 0.836)
O (0.956, 0.244, 0.015)
O (0.523, 0.379, 0.299)
Na (0.154, 0.173, 0.291)
Na (0.324, 0.450, 0.844)

Calculated values
- calculated density (g/cm3) = 4.40
- total magnetic moment (Bohr magnetons per cell) = 0.0
- uncorrected formation energy (eV per atom) = -1.5393


Computed, not measured: a relaxed Pm2Zr3Sn4 crystal at the PBE level of DFT.

a b c (Å): 7.774 7.940 7.926
angles (deg): 90.00 90.00 110.12
Fractional coordinates of all 18 atoms:
Zr (0.253, 0.746, 0.172)
Zr (0.500, 0.500, 0.000)
Zr (0.753, 0.746, 0.328)
Zr (0.747, 0.254, 0.828)
Zr (0.000, 0.500, 0.500)
Zr (0.247, 0.254, 0.672)
Sn (0.640, 0.511, 0.636)
Sn (0.353, 0.085, 0.961)
Sn (0.147, 0.915, 0.461)
Sn (0.647, 0.915, 0.039)
Sn (0.860, 0.489, 0.136)
Sn (0.360, 0.489, 0.364)
Sn (0.853, 0.085, 0.539)
Sn (0.140, 0.511, 0.864)
Pm (0.559, 0.187, 0.331)
Pm (0.941, 0.813, 0.831)
Pm (0.059, 0.187, 0.169)
Pm (0.441, 0.813, 0.669)

Calculated values
- calculated density (g/cm3) = 7.51
- total magnetic moment (Bohr magnetons per cell) = 0.0
- energy of formation (eV per atom) = -0.6955


Computed, not measured: a relaxed BaTiRu3 crystal at the PBE level of DFT.

a b c (Å): 4.890 4.890 4.890
angles (deg): 90.00 90.00 90.00
Fractional coordinates of all 5 atoms:
Ru (0.500, 0.000, 0.000)
Ru (0.000, 0.000, 0.500)
Ru (0.000, 0.500, 0.000)
Ba (0.000, 0.000, 0.000)
Ti (0.500, 0.500, 0.500)

Calculated values
- calculated density (g/cm3) = 6.94
- total magnetic moment (Bohr magnetons per cell) = 0.0
- energy of formation (eV per atom) = 2.5289


Computed, not measured: a relaxed K2Sn6Pb crystal at the PBE level of DFT.

a b c (Å): 6.791 7.045 7.046
angles (deg): 119.99 90.01 90.00
Fractional coordinates of all 9 atoms:
K (0.138, 0.333, 0.667)
K (0.862, 0.667, 0.333)
Sn (0.651, 0.634, 0.817)
Sn (0.349, 0.817, 0.634)
Sn (0.349, 0.817, 0.183)
Sn (0.651, 0.183, 0.366)
Sn (0.349, 0.366, 0.183)
Sn (0.651, 0.183, 0.817)
Pb (0.000, 0.000, 0.000)

Calculated values
- calculated density (g/cm3) = 5.67
- total magnetic moment (Bohr magnetons per cell) = 0.0
- energy of formation (eV per atom) = -0.1446


Computed, not measured: a relaxed In4Hg2Au crystal at the PBE level of DFT.

a b c (Å): 5.344 5.344 8.562
angles (deg): 108.19 108.19 90.00
Fractional coordinates of all 7 atoms:
Hg (0.375, 0.375, 0.749)
Hg (0.625, 0.625, 0.251)
In (0.500, 0.000, 0.000)
In (0.184, 0.184, 0.367)
In (0.000, 0.500, 0.000)
In (0.816, 0.816, 0.633)
Au (0.000, 0.000, 0.000)

Calculated values
- calculated density (g/cm3) = 8.00
- total magnetic moment (Bohr magnetons per cell) = 0.0
- energy of formation (eV per atom) = 0.0832


Computed, not measured: a relaxed Pm4ScSn3 crystal at the PBE level of DFT.

a b c (Å): 6.135 9.163 9.163
angles (deg): 83.57 70.44 70.44
Site moments in Bohr magnetons follow the coordinates.
Fractional coordinates of all 16 atoms:
Pm (0.085, 0.135, 0.694)  0.17
Pm (0.721, 0.865, 0.694)  0.17
Pm (0.221, 0.694, 0.865)  0.17
Pm (0.915, 0.865, 0.306)  0.17
Pm (0.415, 0.306, 0.865)  0.17
Pm (0.779, 0.306, 0.135)  0.17
Pm (0.585, 0.694, 0.135)  0.17
Pm (0.279, 0.135, 0.306)  0.17
Sn (0.750, 0.000, 0.000)  0.00
Sn (0.153, 0.500, 0.195)  -0.01
Sn (0.653, 0.195, 0.500)  -0.01
Sn (0.347, 0.805, 0.500)  -0.01
Sn (0.250, 0.000, 0.000)  0.00
Sn (0.847, 0.500, 0.805)  -0.01
Sc (0.750, 0.500, 0.500)  0.28
Sc (0.250, 0.500, 0.500)  0.28

Calculated values
- calculated density (g/cm3) = 7.12
- total magnetic moment (Bohr magnetons per cell) = 3.6
- energy of formation (eV per atom) = -0.7071


Computed, not measured: a relaxed YMgTc2Bi crystal at the PBE level of DFT.

a b c (Å): 5.081 5.070 5.081
angles (deg): 90.00 90.00 90.00
Site moments in Bohr magnetons follow the coordinates.
Fractional coordinates of all 5 atoms:
Bi (0.000, 0.000, 0.000)  -0.02
Tc (0.000, 0.000, 0.500)  0.98
Tc (0.500, 0.000, 0.000)  0.96
Mg (0.000, 0.500, 0.000)  0.00
Y (0.500, 0.500, 0.500)  -0.09

Calculated values
- calculated density (g/cm3) = 6.57
- total magnetic moment (Bohr magnetons per cell) = 1.9
- energy of formation (eV per atom) = 1.2299


Computed, not measured: a relaxed LiCoAs2W crystal at the PBE level of DFT.

a b c (Å): 4.802 4.855 4.802
angles (deg): 90.00 90.00 90.00
Site moments in Bohr magnetons follow the coordinates.
Fractional coordinates of all 5 atoms:
As (0.500, 0.000, 0.000)  -0.03
As (0.000, 0.000, 0.500)  -0.02
Li (0.000, 0.500, 0.000)  0.00
W (0.000, 0.000, 0.000)  0.24
Co (0.500, 0.500, 0.500)  2.16

Calculated values
- calculated density (g/cm3) = 5.93
- total magnetic moment (Bohr magnetons per cell) = 2.4
- energy of formation (eV per atom) = 1.0633


Computed, not measured: a relaxed Ba2Pt2Se crystal at the PBE level of DFT.

a b c (Å): 9.410 9.410 9.410
angles (deg): 155.77 155.77 34.53
Fractional coordinates of all 5 atoms:
Ba (0.607, 0.607, 0.000)
Ba (0.393, 0.393, 0.000)
Pt (0.250, 0.750, 0.500)
Pt (0.750, 0.250, 0.500)
Se (0.000, 0.000, 0.000)

Calculated values
- calculated density (g/cm3) = 8.81
- total magnetic moment (Bohr magnetons per cell) = 0.0
- uncorrected formation energy (eV per atom) = -1.0320


Computed, not measured: a relaxed La5Cd2N2 crystal at the PBE level of DFT.

a b c (Å): 7.518 7.407 10.787
angles (deg): 110.08 110.39 90.00
Fractional coordinates of all 18 atoms:
N (0.181, 0.271, 0.500)
N (0.000, 0.004, 0.000)
N (0.819, 0.771, 0.500)
N (0.500, 0.504, 0.000)
Cd (0.880, 0.401, 0.776)
Cd (0.396, 0.901, 0.776)
Cd (0.604, 0.125, 0.224)
Cd (0.120, 0.625, 0.224)
La (0.231, 0.240, 0.977)
La (0.584, 0.616, 0.275)
La (0.924, 0.075, 0.500)
La (0.810, 0.841, 0.725)
La (0.769, 0.263, 0.023)
La (0.416, 0.341, 0.725)
La (0.754, 0.763, 0.023)
La (0.076, 0.575, 0.500)
La (0.246, 0.740, 0.977)
La (0.190, 0.116, 0.275)

Calculated values
- calculated density (g/cm3) = 6.01
- total magnetic moment (Bohr magnetons per cell) = 0.0
- uncorrected formation energy (eV per atom) = -0.7040


Computed, not measured: a relaxed Tb4Dy2Y2Er crystal at the PBE level of DFT.

a b c (Å): 3.586 9.484 9.524
angles (deg): 115.26 90.00 100.90
Fractional coordinates of all 9 atoms:
Tb (0.815, 0.630, 0.666)
Tb (0.185, 0.370, 0.334)
Tb (0.482, 0.963, 0.668)
Tb (0.518, 0.037, 0.332)
Y (0.852, 0.704, 0.333)
Y (0.148, 0.296, 0.667)
Er (0.000, 0.000, 0.000)
Dy (0.666, 0.333, 0.001)
Dy (0.334, 0.667, 0.999)

Calculated values
- calculated density (g/cm3) = 7.57
- total magnetic moment (Bohr magnetons per cell) = 0.0
- energy of formation (eV per atom) = 0.0027


Computed, not measured: a relaxed GdSnAu crystal at the PBE level of DFT.

a b c (Å): 4.735 4.735 7.490
angles (deg): 90.00 90.00 120.00
Site moments in Bohr magnetons follow the coordinates.
Fractional coordinates of all 6 atoms:
Sn (0.333, 0.667, 0.200)  -0.04
Sn (0.667, 0.333, 0.700)  -0.04
Gd (0.000, 0.000, 0.476)  6.96
Gd (0.000, 0.000, 0.976)  6.97
Au (0.667, 0.333, 0.296)  -0.02
Au (0.333, 0.667, 0.796)  -0.02

Calculated values
- calculated density (g/cm3) = 10.80
- total magnetic moment (Bohr magnetons per cell) = 14.0
- energy of formation (eV per atom) = -0.8271


Computed, not measured: a relaxed Pr6Nd2Er crystal at the PBE level of DFT.

a b c (Å): 3.689 10.247 10.247
angles (deg): 55.88 90.00 90.00
Fractional coordinates of all 9 atoms:
Pr (0.500, 0.315, 0.685)
Pr (0.000, 0.490, 0.839)
Pr (0.000, 0.510, 0.161)
Pr (0.000, 0.839, 0.490)
Pr (0.000, 0.161, 0.510)
Pr (0.500, 0.685, 0.315)
Er (0.000, 0.000, 0.000)
Nd (0.500, 0.175, 0.175)
Nd (0.500, 0.825, 0.825)

Calculated values
- calculated density (g/cm3) = 6.74
- total magnetic moment (Bohr magnetons per cell) = 0.0
- energy of formation (eV per atom) = 0.1276


The following DFT total energy values (in eV/atom) correspond, in order, to the records above: -2.2247; -5.4430; -2.9068; -6.6333; -3.9694; -3.1119; -2.7799; -3.6504; -5.2722; -4.1302; -6.8512; -6.3796; -5.0001; -3.4691; -2.0360; -5.3750; -5.3045; -5.1911; -4.9143; -5.4949; -5.0213; -7.9475; -4.6252.